First-principles (PBE) data for a geometry-optimized KPmPbSe3 structure, as listed in Alexandria.

## Properties
formation energy without anion corrections: -1272 meV per atom
E_tot: -55.29 eV per cell

Cell: 4.280 9.072 11.641 Å, 98.78 90.00 90.00°
Fractional coordinates of all 12 atoms:
1 Se 0.250 0.651 0.394
2 Se 0.750 0.868 0.155
3 Se 0.750 0.410 0.119
4 Se 0.250 0.132 0.845
5 Se 0.750 0.349 0.606
6 Se 0.250 0.590 0.881
7 Pb 0.750 0.855 0.400
8 Pb 0.250 0.145 0.600
9 K 0.750 0.849 0.849
10 K 0.250 0.151 0.151
11 Pm 0.250 0.632 0.138
12 Pm 0.750 0.368 0.862

=====

First-principles (PBE) data for a geometry-optimized Li3PrSm2Se6 structure, as listed in Alexandria.

## Properties
formation energy without anion corrections: -1668 meV per atom
E_tot: -60.88 eV per cell

Cell: 7.249 7.249 6.957 Å, 99.97 99.97 120.02°
Fractional coordinates of all 12 atoms:
1 Se 0.914 0.576 0.742
2 Se 0.424 0.086 0.258
3 Se 0.576 0.914 0.742
4 Se 0.748 0.748 0.259
5 Se 0.252 0.252 0.741
6 Se 0.086 0.424 0.258
7 Sm 0.333 0.667 0.000
8 Sm 0.667 0.333 0.000
9 Pr 0.000 0.000 0.000
10 Li 0.500 0.500 0.500
11 Li 0.168 0.832 0.500
12 Li 0.832 0.168 0.500

=====

First-principles (PBE) data for a geometry-optimized TmCuGeS4 structure, as listed in Alexandria.

## Properties
formation energy without anion corrections: -800 meV per atom
Fermi-level density of states: 0.22 states/eV per atom
E_tot: -70.59 eV per cell

Cell: 7.168 7.571 7.571 Å, 60.86 61.75 61.75°
Fractional coordinates of all 14 atoms:
1 Tm 0.000 0.000 0.000
2 Tm 0.000 0.500 0.500
3 S 0.249 0.807 0.695
4 S 0.249 0.195 0.307
5 S 0.771 0.724 0.224
6 S 0.229 0.276 0.776
7 S 0.751 0.193 0.305
8 S 0.281 0.724 0.224
9 S 0.719 0.276 0.776
10 S 0.751 0.805 0.693
11 Ge 0.335 0.415 0.915
12 Ge 0.665 0.585 0.085
13 Cu 0.000 0.000 0.500
14 Cu 0.500 0.000 0.500

=====

Copy entry 1 word for word.
First-principles (PBE) data for a geometry-optimized KPmPbSe3 structure, as listed in Alexandria.

## Properties
formation energy without anion corrections: -1272 meV per atom
E_tot: -55.29 eV per cell

Cell: 4.280 9.072 11.641 Å, 98.78 90.00 90.00°
Fractional coordinates of all 12 atoms:
1 Se 0.250 0.651 0.394
2 Se 0.750 0.868 0.155
3 Se 0.750 0.410 0.119
4 Se 0.250 0.132 0.845
5 Se 0.750 0.349 0.606
6 Se 0.250 0.590 0.881
7 Pb 0.750 0.855 0.400
8 Pb 0.250 0.145 0.600
9 K 0.750 0.849 0.849
10 K 0.250 0.151 0.151
11 Pm 0.250 0.632 0.138
12 Pm 0.750 0.368 0.862

=====

The highest formation energy without anion corrections belongs to which entry? TmCuGeS4

=====

Among the records above, which one has the highest E_tot? KPmPbSe3